No. 1
Compound: Ta2AuS
Source: the Alexandria database
Functional: PBE
Structure: optimized geometry

Lattice parameters (Å, degrees): 4.7491 4.7491 15.1367 90.00 90.00 90.00
Space group I-42d (No. 122)
Unique sites:
Ta 0.1836 0.2500 0.1250 [8 per cell]
Au 0.0000 0.0000 0.5000 [4 per cell]
S 0.0000 0.0000 0.0000 [4 per cell]

Output
The raw formation energy is 0.401 eV per atom. The energy comes out at -29.50 eV/f.u.

---

No. 2
Compound: Sc5InOs4
Source: the Alexandria database
Functional: PBE
Structure: optimized geometry

Lattice parameters (Å, degrees): 3.2572 3.2572 16.8134 90.00 90.00 90.00
Space group P4/mmm (No. 123)
Unique sites:
Sc 0.0000 0.0000 0.0000 [1 per cell]
Sc 0.0000 0.0000 0.1882 [2 per cell]
Sc 0.0000 0.0000 0.3734 [2 per cell]
In 0.5000 0.5000 0.5000 [1 per cell]
Os 0.5000 0.5000 0.0954 [2 per cell]
Os 0.5000 0.5000 0.2874 [2 per cell]

Output
The energy comes out at -83.37 eV/f.u.

---

no.,volume (Å³ per cell)
1,341.4
2,178.4